1.
The following is a DFT calculation (PBE) of a relaxed GdNbCu crystal.

Cell: 4.543 4.543 4.543 Å, 60.00 60.00 60.00°
Site moments in Bohr magnetons follow the coordinates.
Atoms (fractional coordinates):
Cu  0.250  0.250  0.250  0.04
Gd  0.750  0.750  0.750  0.20
Nb  0.000  0.000  0.000  0.74

VASP energy	-5.13	eV/atom
DFT formation energy	1026	meV/atom
SG	F-43m


2.
The following is a DFT calculation (PBE) of a relaxed GdNb2CuSi2 crystal.

Cell: 3.935 3.935 7.324 Å, 90.00 90.00 90.00°
Atoms (fractional coordinates):
Cu  0.000  0.000  0.322
Gd  0.500  0.500  0.637
Nb  0.500  0.000  0.013
Nb  0.000  0.500  0.013
Si  0.500  0.500  0.258
Si  0.000  0.000  0.757

VASP energy	-6.85	eV/atom
SG	P4mm


3.
The following is a DFT calculation (PBE) of a relaxed NdGdCu crystal.

Cell: 4.906 4.906 4.906 Å, 60.00 60.00 60.00°
Atoms (fractional coordinates):
Cu  0.000  0.000  0.000
Gd  0.250  0.250  0.250
Nd  0.750  0.750  0.750

polymorph energy (0 for the lowest one)	0.00	eV/f.u.
VASP energy	-4.27	eV/atom
DFT formation energy	106	meV/atom
SG	F-43m


4.
The following is a DFT calculation (PBE) of a relaxed NdGdCu2P4 crystal.

Cell: 3.760 3.760 9.911 Å, 90.00 90.00 90.00°
Atoms (fractional coordinates):
Cu  0.500  0.000  0.500
Cu  0.000  0.500  0.500
Gd  0.000  0.000  0.767
Nd  0.500  0.500  0.234
P  0.000  0.000  0.355
P  0.500  0.500  0.647
P  0.500  0.000  0.999
P  0.000  0.500  0.999

VASP energy	-5.67	eV/atom
SG	P4mm


5.
The following is a DFT calculation (PBE) of a relaxed NdGdCu2Pb crystal.

Cell: 3.712 7.438 7.438 Å, 33.70 90.00 90.00°
Atoms (fractional coordinates):
Cu  0.500  0.203  0.203
Cu  0.500  0.793  0.793
Gd  0.000  0.634  0.634
Nd  0.000  0.368  0.368
Pb  0.500  0.002  0.002

VASP energy	-4.47	eV/atom
SG	Amm2


6.
The following is a DFT calculation (PBE) of a relaxed Nd2GdCu4Pb4 crystal.

Cell: 8.726 8.726 8.726 Å, 149.00 132.37 57.93°
Atoms (fractional coordinates):
Cu  0.647  0.331  0.316
Cu  0.985  0.669  0.316
Cu  0.015  0.331  0.684
Cu  0.353  0.669  0.684
Gd  0.000  0.000  0.000
Nd  0.633  0.133  0.500
Nd  0.367  0.867  0.500
Pb  0.215  0.215  0.000
Pb  0.785  0.785  0.000
Pb  0.711  0.500  0.211
Pb  0.289  0.500  0.789

VASP energy	-4.30	eV/atom
SG	Immm